# La3PmDy2As6 (PBE, relaxed)
# Space-group type: No. 12
# Volume (Å³ per atom): 27.49
# Total magnetic moment (μB/cell): 0.00
# ΔH_f (0 K) (eV/atom): -1.54
data_La3PmDy2As6
_chemical_formula_sum 'La3 Pm1 Dy2 As6'
_space_group_name_H-M_alt 'P 1'
_space_group_IT_number 1
_space_group_name_Hall 'P 1'
_cell_length_a 7.3941
_cell_length_b 7.3941
_cell_length_c 7.3903
_cell_angle_alpha 99.60
_cell_angle_beta 99.60
_cell_angle_gamma 120.00
loop_
_atom_site_label
_atom_site_fract_x
_atom_site_fract_y
_atom_site_fract_z
La1 0.1660 0.8340 0.5000
La2 0.8340 0.1660 0.5000
La3 0.5000 0.5000 0.5000
Pm1 0.0000 0.0000 0.0000
Dy1 0.3331 0.6669 0.0000
Dy2 0.6669 0.3331 0.0000
As1 0.9202 0.5830 0.7608
As2 0.7423 0.7423 0.2387
As3 0.0798 0.4170 0.2392
As4 0.5830 0.9202 0.7608
As5 0.2577 0.2577 0.7613
As6 0.4170 0.0798 0.2392



# Ba2ReSi (PBE, relaxed)
# Space-group type: No. 216
# E_form (uncorrected) (eV/atom): 0.964
# Volume (Å³ per atom): 26.65
# Total magnetic moment (μB/cell): 2.58
data_Ba2ReSi
_chemical_formula_sum 'Ba2 Re1 Si1'
_space_group_name_H-M_alt 'P 1'
_space_group_IT_number 1
_space_group_name_Hall 'P 1'
_cell_length_a 5.3221
_cell_length_b 5.3221
_cell_length_c 5.3221
_cell_angle_alpha 60.00
_cell_angle_beta 60.00
_cell_angle_gamma 60.00
loop_
_atom_site_label
_atom_site_fract_x
_atom_site_fract_y
_atom_site_fract_z
Ba1 0.0000 0.0000 0.0000
Ba2 0.2500 0.2500 0.2500
Re1 0.5000 0.5000 0.5000
Si1 0.7500 0.7500 0.7500



# TlGaCl4 (PBE, relaxed)
# Space-group type: No. 14
# E_form (uncorrected) (eV/atom): -1.162
# Polymorph energy (0 for the lowest one) (meV/atom): 0
# Volume (Å³ per atom): 34.58
# Total magnetic moment (μB/cell): 0.00
data_TlGaCl4
_chemical_formula_sum 'Tl4 Ga4 Cl16'
_space_group_name_H-M_alt 'P 1'
_space_group_IT_number 1
_space_group_name_Hall 'P 1'
_cell_length_a 6.5270
_cell_length_b 10.0031
_cell_length_c 12.7135
_cell_angle_alpha 90.00
_cell_angle_beta 90.00
_cell_angle_gamma 90.68
loop_
_atom_site_label
_atom_site_fract_x
_atom_site_fract_y
_atom_site_fract_z
Tl1 0.3290 0.2481 0.9386
Tl2 0.1710 0.2519 0.4386
Tl3 0.8290 0.7481 0.5614
Tl4 0.6710 0.7519 0.0614
Ga1 0.7684 0.2480 0.6965
Ga2 0.7316 0.2520 0.1965
Ga3 0.2684 0.7480 0.8035
Ga4 0.2316 0.7520 0.3035
Cl1 0.0875 0.9269 0.3777
Cl2 0.8262 0.2478 0.8679
Cl3 0.5831 0.0754 0.1234
Cl4 0.4349 0.2478 0.6731
Cl5 0.0651 0.2522 0.1731
Cl6 0.9169 0.4246 0.6234
Cl7 0.6738 0.2522 0.3679
Cl8 0.5875 0.4269 0.1223
Cl9 0.4125 0.5731 0.8777
Cl10 0.3262 0.7478 0.6321
Cl11 0.0831 0.5754 0.3766
Cl12 0.9349 0.7478 0.8269
Cl13 0.5651 0.7522 0.3269
Cl14 0.4169 0.9246 0.8766
Cl15 0.1738 0.7522 0.1321
Cl16 0.9125 0.0731 0.6223



# NaSiPd4 (PBE, relaxed)
# Space-group type: No. 2
# E_form (uncorrected) (eV/atom): -0.319
# Volume (Å³ per atom): 16.83
# Total magnetic moment (μB/cell): 0.00
data_NaSiPd4
_chemical_formula_sum 'Na2 Si2 Pd8'
_space_group_name_H-M_alt 'P 1'
_space_group_IT_number 1
_space_group_name_Hall 'P 1'
_cell_length_a 5.3882
_cell_length_b 4.6823
_cell_length_c 8.9535
_cell_angle_alpha 109.46
_cell_angle_beta 107.39
_cell_angle_gamma 90.02
loop_
_atom_site_label
_atom_site_fract_x
_atom_site_fract_y
_atom_site_fract_z
Na1 0.8221 0.7499 0.9998
Na2 0.1779 0.2501 0.0002
Si1 0.5000 0.0000 0.5000
Si2 0.0000 0.5000 0.5000
Pd1 0.5253 0.1141 0.7820
Pd2 0.7441 0.3860 0.2182
Pd3 0.4747 0.8859 0.2180
Pd4 0.2559 0.6140 0.7818
Pd5 0.9610 0.0327 0.6487
Pd6 0.3126 0.4674 0.3516
Pd7 0.0390 0.9673 0.3513
Pd8 0.6874 0.5326 0.6484



# ScRe2S (PBE, relaxed)
# Space-group type: No. 122
# E_form (uncorrected) (eV/atom): 0.075
# Polymorph energy (0 for the lowest one) (meV/atom): 0
# Volume (Å³ per atom): 17.37
# Total magnetic moment (μB/cell): 0.00
data_ScRe2S
_chemical_formula_sum 'Sc2 Re4 S2'
_space_group_name_H-M_alt 'P 1'
_space_group_IT_number 1
_space_group_name_Hall 'P 1'
_cell_length_a 3.6067
_cell_length_b 3.6067
_cell_length_c 10.9819
_cell_angle_alpha 80.55
_cell_angle_beta 80.55
_cell_angle_gamma 90.00
loop_
_atom_site_label
_atom_site_fract_x
_atom_site_fract_y
_atom_site_fract_z
Sc1 0.0000 0.0000 0.0000
Sc2 0.7500 0.2500 0.5000
Re1 0.6356 0.1250 0.2500
Re2 0.1144 0.6250 0.2500
Re3 0.3750 0.3644 0.7500
Re4 0.8750 0.8856 0.7500
S1 0.5000 0.5000 0.0000
S2 0.2500 0.7500 0.5000



# InCuSb2 (PBE, relaxed)
# Space-group type: No. 10
# E_form (uncorrected) (eV/atom): 0.227
# Volume (Å³ per atom): 24.80
# Total magnetic moment (μB/cell): 0.00
data_InCuSb2
_chemical_formula_sum 'In1 Cu1 Sb2'
_space_group_name_H-M_alt 'P 1'
_space_group_IT_number 1
_space_group_name_Hall 'P 1'
_cell_length_a 4.1141
_cell_length_b 7.2499
_cell_length_c 5.8550
_cell_angle_alpha 34.61
_cell_angle_beta 90.00
_cell_angle_gamma 90.00
loop_
_atom_site_label
_atom_site_fract_x
_atom_site_fract_y
_atom_site_fract_z
Cu1 0.5000 0.5000 0.5000
In1 0.0000 0.0000 0.5000
Sb1 0.0000 0.0000 0.0000
Sb2 0.5000 0.5000 0.0000